Crystalline Ho6Tm5Th2 at its relaxed geometry. Source: Alexandria, functional PBE-GGA.

a = 11.5185 Å, b = 20.1115 Å, c = 3.5448 Å
α = 90.00°, β = 90.00°, γ = 90.00°
Space group Pbam (No. 55)
Symmetry-distinct sites (fractional):
1 Ho 0.0677 0.0709 0.0000 x4
2 Ho 0.0735 0.3585 0.0000 x4
3 Ho 0.1800 0.6246 0.5000 x4
4 Tm 0.0000 0.5000 0.5000 x2
5 Tm 0.0886 0.2152 0.5000 x4
6 Tm 0.1962 0.9346 0.5000 x4
7 Th 0.1720 0.7735 0.0000 x4

For the formation energy, the calculation gives 111.2 meV/atom. For the total energy, the calculation gives -4.8629 eV per atom. The density of states at the Fermi level comes out at 35.924 states/eV per cell.


Crystalline PaTc5Ge6 at its relaxed geometry. Source: Alexandria, functional PBE-GGA.

a = 5.3925 Å, b = 12.0791 Å, c = 6.5421 Å
α = 90.00°, β = 110.96°, γ = 90.00°
Space group C2/m (No. 12)
Symmetry-distinct sites (fractional):
1 Pa 0.0000 0.0000 0.0000 x2
2 Tc 0.0000 0.0000 0.5000 x2
3 Tc 0.0000 0.3171 0.0000 x4
4 Tc 0.0000 0.3769 0.5000 x4
5 Ge 0.0070 0.1897 0.3000 x8
6 Ge 0.0639 0.5000 0.2120 x4

For the formation energy, the calculation gives -24.0 meV/atom. For the total energy, the calculation gives -7.4432 eV per atom. The density of states at the Fermi level comes out at 27.899 states/eV per cell.


Crystalline Pa2GaFe at its relaxed geometry. Source: Alexandria, functional PBE-GGA.

a = 9.1973 Å, b = 5.6562 Å, c = 3.3303 Å
α = 90.00°, β = 111.04°, γ = 90.00°
Space group C2 (No. 5)
Symmetry-distinct sites (fractional):
1 Pa 0.1973 0.0000 0.1993 x4
2 Ga 0.0000 0.4659 0.0000 x2
3 Fe 0.0000 0.8102 0.5000 x2

The calculation puts the offset from the most stable computed form at 23.9 meV/atom. For the formation energy, the calculation gives -101.3 meV/atom. For the total energy, the calculation gives -7.7217 eV per atom. The density of states at the Fermi level comes out at 12.797 states/eV per cell.


Crystalline Nd3CdCu at its relaxed geometry. Source: Alexandria, functional PBE-GGA.

a = 5.2926 Å, b = 20.1209 Å, c = 5.2876 Å
α = 90.00°, β = 90.00°, γ = 90.00°
Space group Cmcm (No. 63)
Symmetry-distinct sites (fractional):
1 Nd 0.0000 0.0640 0.2500 x4
2 Nd 0.0000 0.2493 0.2500 x4
3 Nd 0.0000 0.4334 0.2500 x4
4 Cd 0.0000 0.1563 0.7500 x4
5 Cu 0.0000 0.3379 0.7500 x4

For the formation energy, the calculation gives -137.2 meV/atom. For the total energy, the calculation gives -4.0002 eV per atom. The density of states at the Fermi level comes out at 20.067 states/eV per cell.


Crystalline Be2Ru3 at its relaxed geometry. Source: Alexandria, functional PBE-GGA.

a = 2.6871 Å, b = 2.6871 Å, c = 29.1303 Å
α = 90.00°, β = 90.00°, γ = 120.00°
Space group R-3m (No. 166, hexagonal axes)
Symmetry-distinct sites (fractional):
1 Be 0.0000 0.0000 0.1027 x6
2 Ru 0.0000 0.0000 0.2964 x6
3 Ru 0.0000 0.0000 0.5000 x3

The calculation puts the offset from the most stable computed form at 27.4 meV/atom. For the formation energy, the calculation gives 52.3 meV/atom. For the total energy, the calculation gives -7.0037 eV per atom. The density of states at the Fermi level comes out at 18.005 states/eV per cell.


Crystalline FeAs2RhSe at its relaxed geometry. Source: Alexandria, functional PBE-GGA.

a = 4.4083 Å, b = 4.4083 Å, c = 4.7676 Å
α = 90.00°, β = 90.00°, γ = 90.00°
Space group P4/mmm (No. 123)
Symmetry-distinct sites (fractional):
1 Fe 0.0000 0.0000 0.0000 x1
2 As 0.0000 0.5000 0.0000 x2
3 Rh 0.5000 0.5000 0.5000 x1
4 Se 0.0000 0.0000 0.5000 x1

The calculation puts the offset from the most stable computed form at 0.0 meV/atom. The formation energy (no corrections) is 55.02 kJ/mol of atoms. For the total energy, the calculation gives -5.1493 eV per atom. The density of states at the Fermi level comes out at 4.384 states/eV per cell.


Crystalline DyCo2Si4 at its relaxed geometry. Source: Alexandria, functional PBE-GGA.

a = 16.1902 Å, b = 3.9238 Å, c = 6.1963 Å
α = 90.00°, β = 90.00°, γ = 90.00°
Space group Pnma (No. 62)
Symmetry-distinct sites (fractional):
1 Dy 0.1407 0.2500 0.0110 x4
2 Co 0.0344 0.7500 0.7466 x4
3 Co 0.2122 0.2500 0.4880 x4
4 Si 0.0273 0.7500 0.1376 x4
5 Si 0.0667 0.2500 0.5270 x4
6 Si 0.1815 0.7500 0.6875 x4
7 Si 0.2000 0.7500 0.2898 x4

The formation energy (no corrections) is -58.62 kJ/mol of atoms. For the total energy, the calculation gives -6.3941 eV per atom. The density of states at the Fermi level comes out at 7.261 states/eV per cell.


Crystalline CsScB2H at its relaxed geometry. Source: Alexandria, functional PBE-GGA.

a = 5.0529 Å, b = 5.0529 Å, c = 3.5128 Å
α = 90.00°, β = 90.00°, γ = 90.00°
Space group P4/mmm (No. 123)
Symmetry-distinct sites (fractional):
1 Cs 0.0000 0.0000 0.0000 x1
2 Sc 0.5000 0.5000 0.0000 x1
3 B 0.0000 0.5000 0.5000 x2
4 H 0.5000 0.5000 0.5000 x1

The calculation puts the offset from the most stable computed form at 0.0 meV/atom. For the total energy, the calculation gives -3.2694 eV per atom. The density of states at the Fermi level comes out at 2.995 states/eV per cell.